No. 1
# Cd2Co2Ag (PBE, relaxed)
# - ρ (g/cm3) = 8.90
# - crystal system = tetragonal
# - calculated formation energy (meV per atom) = 342.9
# - volume (Å³ per cell) = 168
# - uncorrected energy (eV/atom) = -3.436
# - E above lowest polymorph (meV/atom) = 40
data_Cd2Co2Ag
_cell_length_a 6.708
_cell_length_b 6.708
_cell_length_c 3.738
_cell_angle_alpha 90.00
_cell_angle_beta 90.00
_cell_angle_gamma 90.00
_space_group_name_H-M_alt 'P 4/m b m'
_space_group_IT_number 127
_space_group_name_Hall '-P 4 2ab'
loop_
_atom_site_label
_atom_site_type_symbol
_atom_site_fract_x
_atom_site_fract_y
_atom_site_fract_z
Cd1 Cd 0.178 0.322 0.000
Co1 Co 0.116 0.616 0.500
Ag1 Ag 0.000 0.000 0.500

=====

No. 2
# CdCoAg (PBE, relaxed)
# - ρ (g/cm3) = 9.41
# - crystal system = tetragonal
# - calculated formation energy (meV per atom) = 302.5
# - volume (Å³ per cell) = 99
# - uncorrected energy (eV/atom) = -3.322
# - E above lowest polymorph (meV/atom) = 0
data_CdCoAg
_cell_length_a 2.879
_cell_length_b 2.879
_cell_length_c 11.890
_cell_angle_alpha 90.00
_cell_angle_beta 90.00
_cell_angle_gamma 90.00
_space_group_name_H-M_alt 'I 4 m m'
_space_group_IT_number 107
_space_group_name_Hall 'I 4 -2'
loop_
_atom_site_label
_atom_site_type_symbol
_atom_site_fract_x
_atom_site_fract_y
_atom_site_fract_z
Cd1 Cd 0.000 0.000 0.000
Co1 Co 0.000 0.000 0.341
Ag1 Ag 0.000 0.000 0.689

=====

- Look up the ρ of the first one.
  8.90 g/cm3

=====

- Number 1 is which compound?
  Cd2Co2Ag